VASP calculation (meta-GGA SCAN) on a PBEsol-optimized structure of YAu22.

raw total energy: -67.4288 eV/atom
symmetry: Fd-3m
energy of formation: -1.57 eV/f.u.

Geometry as extended XYZ:
```
46
Lattice="-5.747 -6.292 6.189 4.766 -6.475 6.803 -0.571 1.885 10.346" Properties=species:S:1:pos:R:3 pbc="T T T"
Au -3.353 -3.564 11.185
Au 3.269 -5.022 9.234
Au -4.705 -6.180 11.587
Au -1.222 -10.209 17.874
Au 3.107 -6.316 12.043
Au -0.966 -3.935 15.368
Au -2.713 -7.873 18.864
Au 0.772 -5.730 10.309
Au -2.554 -8.400 15.972
Au -0.194 -1.360 2.917
Au 0.613 -5.204 13.201
Au -2.165 -5.679 10.138
Au 1.518 -5.730 15.807
Au -0.719 -3.394 11.300
Au -0.975 -9.669 13.805
Au -3.545 -5.642 15.512
Au -1.107 -6.115 17.134
Au -3.309 -8.366 10.660
Au -1.937 -3.149 8.606
Au 2.994 -4.114 14.218
Au 1.754 -8.454 10.956
Au 1.604 -7.961 13.661
Au -3.459 -7.873 13.366
Au -2.325 -5.152 13.029
Au 2.189 -4.598 6.319
Au 0.699 -0.995 10.941
Au -3.067 -4.506 6.012
Au -4.769 -3.979 13.764
Au -2.002 -0.948 10.783
Au -0.541 -5.335 7.679
Au 0.812 -3.197 8.766
Au -4.494 -4.887 8.781
Y -0.388 -2.721 5.835
Au -2.212 -2.241 13.589
Au 0.384 -8.451 16.144
Au -0.480 -0.418 8.090
Au -0.834 -7.489 12.039
Y 0.000 0.000 0.000
Au 0.537 -2.289 13.750
Au -0.970 -6.802 14.587
Au 0.225 -7.924 19.035
Au -0.828 -10.153 11.148
Au -0.685 -7.744 9.413
Au 1.903 -3.656 11.492
Au 1.940 -7.122 8.167
Au -3.123 -7.034 7.871
```

VASP calculation (meta-GGA SCAN) on a PBEsol-optimized structure of YAu2.

raw total energy: -56.3836 eV/atom
symmetry: Cmcm
energy of formation: -2.99 eV/f.u.

Geometry as extended XYZ:
```
6
Lattice="-2.477 2.641 -2.720 3.276 -3.267 -2.385 -4.151 -4.051 -0.153" Properties=species:S:1:pos:R:3 pbc="T T T"
Au -1.239 1.320 -1.360
Y -1.022 -0.890 -3.703
Au -2.799 -3.201 -4.329
Y -2.330 -3.786 -1.554
Au -0.553 -1.476 -0.929
Au -3.314 -0.705 -1.437
```

VASP calculation (meta-GGA SCAN) on a PBEsol-optimized structure of YAu.

raw total energy: -49.6277 eV/atom
symmetry: Pmma
energy of formation: -2.26 eV/f.u.

Geometry as extended XYZ:
```
4
Lattice="3.537 0.000 0.000 0.000 4.982 0.000 0.000 0.000 5.053" Properties=species:S:1:pos:R:3 pbc="T T T"
Y 1.769 3.737 1.215
Au 0.000 1.246 1.390
Au 0.000 3.737 3.663
Y 1.769 1.246 3.838
```

VASP calculation (meta-GGA SCAN) on a PBEsol-optimized structure of Y2Au3.

raw total energy: -53.5225 eV/atom
symmetry: P-3m1
energy of formation: -4.46 eV/f.u.

Geometry as extended XYZ:
```
5
Lattice="-1.769 -0.559 -4.441 4.740 0.526 0.654 0.577 -5.829 0.504" Properties=species:S:1:pos:R:3 pbc="T T T"
Au 2.692 -1.065 -0.938
Y 0.567 -1.881 -2.597
Au 0.000 0.000 0.000
Au 0.856 -4.798 -2.345
Y 2.980 -3.982 -0.686
```

VASP calculation (meta-GGA SCAN) on a PBEsol-optimized structure of YAu2.

raw total energy: -56.4628 eV/atom
symmetry: I4/mmm
energy of formation: -3.23 eV/f.u.

Geometry as extended XYZ:
```
3
Lattice="-1.084 -3.028 -1.783 2.311 -2.020 2.026 -3.825 1.890 2.909" Properties=species:S:1:pos:R:3 pbc="T T T"
Au -0.454 -2.735 1.129
Au -2.144 -0.424 2.023
Y 0.000 0.000 0.000
```

VASP calculation (meta-GGA SCAN) on a PBEsol-optimized structure of Y3Au.

raw total energy: -38.4160 eV/atom
symmetry: Fm-3m
energy of formation: -0.98 eV/f.u.

Geometry as extended XYZ:
```
4
Lattice="-3.265 1.545 3.756 -3.841 -3.152 1.573 0.213 -2.216 4.712" Properties=species:S:1:pos:R:3 pbc="T T T"
Au 0.000 0.000 0.000
Y -3.447 -1.911 5.021
Y -1.723 -0.956 2.510
Y -5.170 -2.867 7.531
```

VASP calculation (meta-GGA SCAN) on a PBEsol-optimized structure of YAu4.

raw total energy: -61.4900 eV/atom
symmetry: I4/mmm
energy of formation: -2.98 eV/f.u.

Geometry as extended XYZ:
```
5
Lattice="-3.272 1.669 -1.248 -2.069 -2.313 2.329 3.114 4.848 4.350" Properties=species:S:1:pos:R:3 pbc="T T T"
Au -2.582 0.579 1.513
Y 0.000 0.000 0.000
Au -1.415 3.098 1.821
Au 0.355 3.625 3.917
Au -0.813 1.106 3.610
```

VASP calculation (meta-GGA SCAN) on a PBEsol-optimized structure of YAu2.

raw total energy: -56.3520 eV/atom
symmetry: Pnma
energy of formation: -2.90 eV/f.u.

Geometry as extended XYZ:
```
12
Lattice="-0.434 0.699 4.937 -4.783 -3.382 0.058 4.761 -6.709 1.369" Properties=species:S:1:pos:R:3 pbc="T T T"
Au 0.853 -6.202 4.759
Au 3.242 -4.507 4.729
Au -3.698 -4.886 1.635
Y -3.491 -2.616 3.869
Au 0.734 -8.596 2.550
Au -1.871 -4.897 4.335
Au -1.309 -3.190 1.605
Au 1.415 -4.495 2.030
Y 3.035 -6.776 2.495
Au -1.190 -0.796 3.814
Y -0.885 -6.314 2.085
Y 0.429 -3.079 4.280
```

VASP calculation (meta-GGA SCAN) on a PBEsol-optimized structure of Y3Au2.

raw total energy: -45.3270 eV/atom
symmetry: P4/mbm
energy of formation: -4.79 eV/f.u.

Geometry as extended XYZ:
```
10
Lattice="3.756 0.000 0.000 0.000 8.029 0.000 0.000 0.000 8.029" Properties=species:S:1:pos:R:3 pbc="T T T"
Y 1.878 5.322 1.307
Au 0.000 5.075 6.969
Y 1.878 6.722 5.322
Au 0.000 1.060 5.075
Au 0.000 6.969 2.955
Y 1.878 1.307 2.708
Au 0.000 2.955 1.060
Y 1.878 2.708 6.722
Y 0.000 0.000 0.000
Y 0.000 4.015 4.015
```

VASP calculation (meta-GGA SCAN) on a PBEsol-optimized structure of YAu5.

raw total energy: -62.7982 eV/atom
symmetry: C2/m
energy of formation: -3.16 eV/f.u.

Geometry as extended XYZ:
```
6
Lattice="4.265 0.000 0.000 -2.133 4.612 0.043 0.000 -1.660 5.574" Properties=species:S:1:pos:R:3 pbc="T T T"
Y 2.133 -0.830 2.787
Au 0.000 0.967 1.821
Au 2.133 2.778 0.957
Au 0.000 0.173 4.661
Au 2.133 0.000 0.000
Au 2.133 1.985 3.796
```

VASP calculation (meta-GGA SCAN) on a PBEsol-optimized structure of YAu.

raw total energy: -49.3841 eV/atom
symmetry: Imma
energy of formation: -1.77 eV/f.u.

Geometry as extended XYZ:
```
4
Lattice="3.674 0.000 0.000 0.000 4.642 0.000 -1.837 -2.321 5.207" Properties=species:S:1:pos:R:3 pbc="T T T"
Y 1.837 3.482 1.148
Au 0.000 1.161 1.480
Au 1.837 1.161 3.727
Y 0.000 -1.161 4.059
```

VASP calculation (meta-GGA SCAN) on a PBEsol-optimized structure of YZn2Au2.

raw total energy: -39.3565 eV/atom
symmetry: I4/mmm
energy of formation: -3.60 eV/f.u.

Geometry as extended XYZ:
```
5
Lattice="-1.346 -0.801 -3.511 -2.644 -2.325 1.544 -2.034 6.433 1.417" Properties=species:S:1:pos:R:3 pbc="T T T"
Au -2.864 -0.512 -0.890
Y 0.000 0.000 0.000
Zn -2.687 2.035 -1.539
Au -3.160 3.821 0.340
Zn -3.337 1.273 0.988
```